PBE Rb2LiHgAu, relaxed; space-group type = P4/mmm, No. 123; total magnetization = 0.04 μB/atom; D(E_F) = 4.270 states/eV/cell; energy of formation = -0.121 eV per atom
1.0
-1.197 6.383 -1.476
-5.590 -1.778 -3.154
-2.596 0.511 4.313
Au Hg Rb Li
1 1 2 1
Direct
0.000 0.000 0.000
0.500 0.500 0.500
0.000 0.500 0.000
0.500 0.000 0.000
0.000 0.000 0.500

PBE Tc2RhN, relaxed; space-group type = R-3m, No. 166; total magnetization = 0.00 μB/atom; uncorrected formation energy = 0.55 eV per formula unit; D(E_F) = 4.154 states/eV/cell
1.0
2.755 0.000 0.000
1.377 2.386 0.000
1.377 0.795 7.413
Rh Tc N
1 2 1
Direct
0.500 0.500 0.500
0.732 0.732 0.805
0.268 0.268 0.195
0.000 0.000 0.000

PBE LaY2TlCo, relaxed; space-group type = P4/mmm, No. 123; total magnetization = 0.16 μB/atom; D(E_F) = 6.269 states/eV/cell; energy of formation = -0.043 eV per atom; excess energy over the best structure of this formula in the dataset = 146 meV per atom
1.0
-3.024 -1.139 4.052
2.049 -4.757 0.193
3.682 1.717 3.230
Y Tl Co La
2 1 1 1
Direct
0.000 0.500 0.000
0.500 0.000 0.000
0.000 0.000 0.500
0.000 0.000 0.000
0.500 0.500 0.500

PBE Er2Ni5P2, relaxed; space-group type = P4/mmm, No. 123; total magnetization = 0.00 μB/atom; D(E_F) = 2.059 states/eV/cell; energy of formation = -0.730 eV per atom
1.0
3.895 0.000 0.000
0.000 3.895 0.000
0.000 0.000 8.366
Er Ni P
2 5 2
Direct
0.000 0.000 0.000
0.000 0.000 0.500
0.500 0.000 0.268
0.500 0.000 0.732
0.500 0.500 0.500
0.000 0.500 0.268
0.000 0.500 0.732
0.500 0.500 0.143
0.500 0.500 0.857

PBE ZrCoAg4, relaxed; space-group type = F-43m, No. 216; total magnetization = 0.09 μB/atom; D(E_F) = 6.791 states/eV/cell; energy of formation = 0.343 eV per atom
1.0
0.000 3.798 3.798
3.798 0.000 3.798
3.798 3.798 0.000
Zr Co Ag
1 1 4
Direct
0.000 0.000 0.000
0.750 0.750 0.750
0.874 0.375 0.375
0.375 0.375 0.874
0.375 0.874 0.375
0.375 0.375 0.375

PBE Mo2WN, relaxed; space-group type = I-42d, No. 122; total magnetization = 0.00 μB/atom; uncorrected formation energy = 0.81 eV per formula unit; D(E_F) = 7.633 states/eV/cell
1.0
-0.293 4.441 5.503
-6.112 -2.929 2.038
-2.079 -0.719 5.021
Mo W N
4 2 2
Direct
0.513 0.125 0.250
0.237 0.625 0.250
0.375 0.487 0.750
0.875 0.763 0.750
0.000 0.000 0.000
0.750 0.250 0.500
0.500 0.500 0.000
0.250 0.750 0.500

PBE Dy12Y2Zr, relaxed; space-group type = Cmme, No. 67; total magnetization = 0.00 μB/atom; D(E_F) = 45.929 states/eV/cell; energy of formation = 0.184 eV per atom
1.0
6.440 -1.476 0.000
-1.476 6.440 0.000
0.000 0.000 24.308
Dy Y Zr
24 4 2
Direct
0.500 0.500 0.804
0.000 0.000 0.804
0.750 0.750 0.929
0.250 0.750 0.881
0.000 0.000 0.324
0.250 0.750 0.119
0.761 0.261 0.588
0.500 0.500 0.324
0.250 0.250 0.929
0.750 0.750 0.071
0.263 0.237 0.562
0.739 0.239 0.412
0.000 0.000 0.676
0.237 0.263 0.438
0.250 0.250 0.071
0.763 0.737 0.438
0.737 0.763 0.562
0.000 0.000 0.196
0.239 0.739 0.588
0.500 0.500 0.676
0.750 0.250 0.881
0.500 0.500 0.196
0.261 0.761 0.412
0.750 0.250 0.119
0.500 0.000 0.263
0.000 0.500 0.266
0.000 0.500 0.737
0.500 0.000 0.734
0.500 0.000 0.000
0.000 0.500 0.000

PBE CsBaBeAu2, relaxed; space-group type = P4/mmm, No. 123; total magnetization = 0.00 μB/atom; D(E_F) = 5.934 states/eV/cell; energy of formation = 0.748 eV per atom
1.0
-4.953 1.378 -3.335
-3.835 -10.238 1.467
-2.912 1.818 5.076
Cs Be Au Ba
1 1 2 1
Direct
0.000 0.500 0.000
0.500 0.500 0.500
0.000 0.000 0.500
0.500 0.000 0.000
0.000 0.000 0.000

PBE Ti3PtO, relaxed; space-group type = I-4m2, No. 119; total magnetization = 0.00 μB/atom; uncorrected formation energy = -4.10 eV per formula unit; D(E_F) = 11.086 states/eV/cell
1.0
-2.101 -2.792 -3.297
-2.807 -1.905 3.402
-7.267 2.655 -1.118
O Pt Ti
2 2 6
Direct
0.000 0.000 0.000
0.250 0.750 0.500
0.649 0.149 0.703
0.851 0.351 0.297
0.636 0.893 0.215
0.107 0.364 0.785
0.107 0.851 0.785
0.149 0.893 0.215
0.283 0.283 0.434
0.717 0.717 0.566

PBE Sr2Ge2Au, relaxed; space-group type = I4/mmm, No. 139; total magnetization = 0.00 μB/atom; D(E_F) = 3.984 states/eV/cell; energy of formation = -0.306 eV per atom; excess energy over the best structure of this formula in the dataset = 358 meV per atom
1.0
6.227 0.000 0.000
0.000 6.227 0.000
3.114 3.114 3.860
Sr Ge Au
2 2 1
Direct
0.750 0.250 0.500
0.250 0.750 0.500
0.338 0.338 0.323
0.662 0.662 0.677
0.000 0.000 0.000

PBE CsTl2Ga2, relaxed; space-group type = P4/mbm, No. 127; total magnetization = 0.00 μB/atom; D(E_F) = 6.876 states/eV/cell; energy of formation = 0.070 eV per atom; excess energy over the best structure of this formula in the dataset = 113 meV per atom
1.0
9.346 0.000 0.000
0.000 9.346 0.000
0.000 0.000 3.534
Cs Tl Ga
2 4 4
Direct
0.000 0.000 0.000
0.500 0.500 0.000
0.153 0.653 0.500
0.653 0.847 0.500
0.847 0.347 0.500
0.347 0.153 0.500
0.374 0.874 0.000
0.874 0.626 0.000
0.626 0.126 0.000
0.126 0.374 0.000

PBE Y3Ho8Th2, relaxed; space-group type = P-1, No. 2; total magnetization = 0.00 μB/atom; D(E_F) = 36.407 states/eV/cell; energy of formation = 0.115 eV per atom; excess energy over the best structure of this formula in the dataset = 0 meV per atom
1.0
12.746 1.368 1.767
-5.380 2.919 -0.018
2.177 1.464 19.349
Y Ho Th
6 16 4
Direct
0.469 0.510 0.293
0.500 0.000 0.500
0.909 0.152 0.774
0.091 0.848 0.226
0.000 0.000 0.000
0.531 0.490 0.707
0.548 0.430 0.112
0.799 0.046 0.386
0.088 0.945 0.816
0.630 0.372 0.924
0.274 0.662 0.260
0.660 0.324 0.322
0.207 0.777 0.438
0.818 0.191 0.963
0.182 0.809 0.037
0.793 0.223 0.562
0.912 0.055 0.184
0.726 0.338 0.740
0.370 0.628 0.076
0.340 0.676 0.678
0.201 0.954 0.614
0.452 0.570 0.888
0.733 0.245 0.146
0.983 0.058 0.585
0.017 0.942 0.415
0.267 0.755 0.854